5
Lattice="4.755 0.000 0.000 0.000 4.755 0.000 0.000 0.000 4.755" Properties=species:S:1:pos:R:3 comment="RbNb3N (PBE, relaxed)" e_tot_ev_per_atom=-4.1238 e_form_raw_ev_per_atom=3.78 de_polymorph_ev_per_atom=2.988 pbc="T T T"
Nb 0.000 2.378 0.000
Nb 0.000 0.000 2.378
Nb 2.378 0.000 0.000
Rb 0.000 0.000 0.000
N 2.378 2.378 2.378